# PBE PaCrTcMo, optimized geometry
# **Total energy**: -9.944 eV/atom
# **Magnetization**: 0.17 μB/atom
# **Formation enthalpy at 0 K**: 0.5 eV/f.u.
# **N(E_F)**: 17.859 states/eV per cell
# **Mass density**: 11.768 g/cm³
# **Crystal system**: cubic
data_PaCrTcMo
_cell_length_a 6.4571
_cell_length_b 6.4571
_cell_length_c 6.4571
_cell_angle_alpha 90.00
_cell_angle_beta 90.00
_cell_angle_gamma 90.00
_space_group_name_H-M_alt 'F -4 3 m'
_space_group_IT_number 216
_space_group_name_Hall 'F -4 2 3'
loop_
_atom_site_label
_atom_site_type_symbol
_atom_site_fract_x
_atom_site_fract_y
_atom_site_fract_z
_atom_site_occupancy
Pa1 Pa 0.0000 0.0000 0.0000 1
Cr1 Cr 0.2500 0.2500 0.2500 1
Tc1 Tc 0.2500 0.2500 0.7500 1
Mo1 Mo 0.0000 0.0000 0.5000 1